No. 1
Below is a relaxed ZrTe2H2 crystal, with properties calculated at the PBEsol level.

CIF file:
```
data_ZrTe2H2
_cell_length_a 3.521
_cell_length_b 3.521
_cell_length_c 6.940
_cell_angle_alpha 104.69
_cell_angle_beta 104.69
_cell_angle_gamma 90.00
_symmetry_space_group_name_H-M 'P 1'
_symmetry_Int_Tables_number 1
loop_
_symmetry_equiv_pos_as_xyz
'x,y,z'
loop_
_atom_site_label
_atom_site_type_symbol
_atom_site_fract_x
_atom_site_fract_y
_atom_site_fract_z
_atom_site_occupancy
Te1 Te 0.632 0.632 0.264 1
Te2 Te 0.368 0.368 0.736 1
Zr1 Zr 0.000 0.000 0.000 1
H1 H 0.750 0.250 0.500 1
H2 H 0.250 0.750 0.500 1
```

Its energy is -22.26 eV/f.u. The calculation puts the total magnetization at 0.000 μB per atom. The space group is No. 139.


No. 2
Below is a relaxed V6GaSi crystal, with properties calculated at the PBEsol level.

CIF file:
```
data_V6GaSi
_cell_length_a 4.681
_cell_length_b 4.681
_cell_length_c 4.681
_cell_angle_alpha 90.00
_cell_angle_beta 90.00
_cell_angle_gamma 90.00
_symmetry_space_group_name_H-M 'P 1'
_symmetry_Int_Tables_number 1
loop_
_symmetry_equiv_pos_as_xyz
'x,y,z'
loop_
_atom_site_label
_atom_site_type_symbol
_atom_site_fract_x
_atom_site_fract_y
_atom_site_fract_z
_atom_site_occupancy
V1 V 0.758 0.000 0.500 1
V2 V 0.242 0.000 0.500 1
V3 V 0.000 0.500 0.242 1
V4 V 0.500 0.758 0.000 1
V5 V 0.500 0.242 0.000 1
V6 V 0.000 0.500 0.758 1
Si1 Si 0.000 0.000 0.000 1
Ga1 Ga 0.500 0.500 0.500 1
```

For the uncorrected formation energy, the calculation gives -0.3560 eV per atom. The calculation puts the total magnetization at 0.003 μB per atom. The space group is No. 200.